An optimized crystal structure of TlBiPtCl2. Source: Alexandria, functional PBE.

volume: 27.3 Å³ per atom
uncorrected formation energy: -0.79 eV per formula unit

Cell lengths 4.929, 4.929, 5.627 Å; angles 90.00, 90.00, 90.00 degrees
Atoms (fractional coordinates):
Tl  0.000  0.000  0.000
Bi  0.500  0.500  0.000
Pt  0.500  0.500  0.500
Cl  0.000  0.500  0.500
Cl  0.500  0.000  0.500